DFT (GGA-PBEsol) results for an optimized crystal structure of LiZn2Au2.

Calculated values
Symmetry: I4/mmm
Formation energy (kcal/mol of atoms): -5.7
Excess energy over the best structure of this formula in the dataset (meV/atom): 68

Cell lengths 6.894, 6.894, 6.894 Å; angles 149.36, 149.36, 43.88 degrees
Fractional coordinates of all 5 atoms:
Li (0.000, 0.000, 0.000)
Zn (0.250, 0.750, 0.500)
Zn (0.750, 0.250, 0.500)
Au (0.397, 0.397, 0.000)
Au (0.603, 0.603, 0.000)

***

DFT (GGA-PBEsol) results for an optimized crystal structure of LiZnAu2.

Calculated values
Symmetry: P4/mmm
Formation energy (kcal/mol of atoms): -9.6

Cell lengths 4.353, 4.353, 3.125 Å; angles 90.00, 90.00, 90.00 degrees
Fractional coordinates of all 4 atoms:
Li (0.000, 0.000, 0.000)
Zn (0.500, 0.500, 0.000)
Au (0.000, 0.500, 0.500)
Au (0.500, 0.000, 0.500)

***

DFT (GGA-PBEsol) results for an optimized crystal structure of LiZnAu.

Calculated values
Symmetry: Imm2
Formation energy (kcal/mol of atoms): -8.8
Excess energy over the best structure of this formula in the dataset (meV/atom): 0

Cell lengths 4.710, 4.710, 4.710 Å; angles 145.01, 132.66, 60.20 degrees
Fractional coordinates of all 3 atoms:
Li (0.000, 0.000, 0.000)
Zn (0.330, 0.330, 0.000)
Au (0.664, 0.664, 0.000)

***

DFT (GGA-PBEsol) results for an optimized crystal structure of LiZnAu.

Calculated values
Symmetry: P3m1
Formation energy (kcal/mol of atoms): -8.6
Excess energy over the best structure of this formula in the dataset (meV/atom): 9

Cell lengths 4.311, 4.311, 2.690 Å; angles 90.00, 90.00, 120.00 degrees
Fractional coordinates of all 3 atoms:
Li (0.000, 0.000, 0.000)
Zn (0.333, 0.667, 0.731)
Au (0.667, 0.333, 0.359)

***

DFT (GGA-PBEsol) results for an optimized crystal structure of LiZnAu2.

Calculated values
Symmetry: F-43m
Formation energy (kcal/mol of atoms): -7.6

Cell lengths 4.436, 4.436, 4.436 Å; angles 60.00, 60.00, 60.00 degrees
Fractional coordinates of all 4 atoms:
Li (0.000, 0.000, 0.000)
Zn (0.750, 0.750, 0.750)
Au (0.250, 0.250, 0.250)
Au (0.500, 0.500, 0.500)

***

DFT (GGA-PBEsol) results for an optimized crystal structure of LiZnAu2.

Calculated values
Symmetry: P4mm
Formation energy (kcal/mol of atoms): -7.2

Cell lengths 3.365, 3.365, 5.443 Å; angles 90.00, 90.00, 90.00 degrees
Fractional coordinates of all 4 atoms:
Li (0.000, 0.000, 0.000)
Zn (0.500, 0.500, 0.270)
Au (0.000, 0.000, 0.489)
Au (0.500, 0.500, 0.791)

***

DFT (GGA-PBEsol) results for an optimized crystal structure of LiZnAu2.

Calculated values
Symmetry: Cm
Formation energy (kcal/mol of atoms): -8.6

Cell lengths 4.877, 4.877, 4.612 Å; angles 99.67, 99.67, 34.12 degrees
Fractional coordinates of all 4 atoms:
Li (0.000, 0.000, 0.000)
Zn (0.759, 0.759, 0.313)
Au (0.254, 0.254, 0.821)
Au (0.501, 0.501, 0.494)

***

DFT (GGA-PBEsol) results for an optimized crystal structure of LiZn2Au2.

Calculated values
Symmetry: P4/mbm
Formation energy (kcal/mol of atoms): -7.3
Excess energy over the best structure of this formula in the dataset (meV/atom): 0

Cell lengths 7.578, 7.578, 2.838 Å; angles 90.00, 90.00, 90.00 degrees
Fractional coordinates of all 10 atoms:
Li (0.000, 0.000, 0.000)
Li (0.500, 0.500, 0.000)
Zn (0.131, 0.369, 0.500)
Zn (0.369, 0.869, 0.500)
Zn (0.631, 0.131, 0.500)
Zn (0.869, 0.631, 0.500)
Au (0.167, 0.667, 0.000)
Au (0.333, 0.167, 0.000)
Au (0.667, 0.833, 0.000)
Au (0.833, 0.333, 0.000)

***

How do the records compare in ρ? In the order shown, they have 10.404; 13.076; 10.245; 10.330; 12.546; 12.559; 12.784; 10.835 g cm⁻³.